HfTi2TeMo | GGA-PBE | optimized geometry

- Formation energy from raw total energies: 17.29 kcal/mol of atoms
- Fermi-level density of states: 5.3 states/eV per cell
- VASP energy: -35.97 eV for the cell shown
- Calculated density: 7.31 g cm⁻³
- Total magnetic moment: 0.0 μB/f.u.

Cell: 4.6988 4.6988 5.1216 Å, 90.00 90.00 90.00°
Space group P4/mmm (No. 123)
One atom of each set of equivalent atoms:
Hf  0.0000  0.0000  0.0000 (multiplicity 1)
Ti  0.0000  0.5000  0.5000 (multiplicity 2)
Te  0.5000  0.5000  0.0000 (multiplicity 1)
Mo  0.5000  0.5000  0.5000 (multiplicity 1)



Hf2ThMo | GGA-PBE | optimized geometry

- Fermi-level density of states: 4.7 states/eV per cell
- VASP energy: -38.11 eV for the cell shown
- Calculated density: 12.36 g cm⁻³
- Total magnetic moment: 0.0 μB/f.u.
- E above lowest polymorph: 0 meV per atom

Cell: 3.3749 3.3749 8.0812 Å, 90.00 90.00 90.00°
Space group P4/mmm (No. 123)
One atom of each set of equivalent atoms:
Hf  0.0000  0.0000  0.1920 (multiplicity 2)
Th  0.5000  0.5000  0.5000 (multiplicity 1)
Mo  0.5000  0.5000  0.0000 (multiplicity 1)



Hf2ThMo | GGA-PBE | optimized geometry

- Fermi-level density of states: 10.6 states/eV per cell
- VASP energy: -110.42 eV for the cell shown
- Calculated density: 12.03 g cm⁻³
- Total magnetic moment: 0.0 μB/f.u.
- E above lowest polymorph: 325 meV per atom

Cell: 3.2393 3.2393 31.2162 Å, 90.00 90.00 120.00°
Space group R-3m (No. 166, hexagonal axes)
One atom of each set of equivalent atoms:
Hf  0.0000  0.0000  0.1015 (multiplicity 6)
Th  0.0000  0.0000  0.0000 (multiplicity 3)
Mo  0.0000  0.0000  0.5000 (multiplicity 3)



HfThTiMo | GGA-PBE | optimized geometry

- Fermi-level density of states: 26.1 states/eV per cell
- VASP energy: -142.62 eV for the cell shown
- Calculated density: 11.02 g cm⁻³
- Total magnetic moment: 0.0 μB/f.u.

Cell: 6.9390 6.9390 6.9390 Å, 90.00 90.00 90.00°
Space group F-43m (No. 216)
One atom of each set of equivalent atoms:
Hf  0.0000  0.0000  0.0000 (multiplicity 4)
Th  0.0000  0.0000  0.5000 (multiplicity 4)
Ti  0.2500  0.2500  0.7500 (multiplicity 4)
Mo  0.2500  0.2500  0.2500 (multiplicity 4)



HfThZnMo | GGA-PBE | optimized geometry

- Fermi-level density of states: 27.6 states/eV per cell
- VASP energy: -116.95 eV for the cell shown
- Calculated density: 11.18 g cm⁻³
- Total magnetic moment: 0.0 μB/f.u.

Cell: 6.9784 6.9784 6.9784 Å, 90.00 90.00 90.00°
Space group F-43m (No. 216)
One atom of each set of equivalent atoms:
Hf  0.0000  0.0000  0.0000 (multiplicity 4)
Th  0.0000  0.0000  0.5000 (multiplicity 4)
Zn  0.2500  0.2500  0.7500 (multiplicity 4)
Mo  0.2500  0.2500  0.2500 (multiplicity 4)



HfTi2Mo | GGA-PBE | optimized geometry

- Fermi-level density of states: 9.8 states/eV per cell
- VASP energy: -73.72 eV for the cell shown
- Calculated density: 8.55 g cm⁻³
- Total magnetic moment: 0.0 μB/f.u.
- E above lowest polymorph: 0 meV per atom

Cell: 3.2568 4.7205 9.3579 Å, 90.00 90.00 90.00°
Space group Immm (No. 71)
One atom of each set of equivalent atoms:
Hf  0.0000  0.0000  0.0000 (multiplicity 2)
Ti  0.0000  0.5000  0.2215 (multiplicity 4)
Mo  0.0000  0.0000  0.5000 (multiplicity 2)